This record from Alexandria via LeMat-Bulk describes ThInNi after structural relaxation. The functional is PBEsol.

Raw total energy = -56.28 eV for the cell shown
ΔE_f = -1.51 eV/f.u.
Size of the total moment = 0.00 μB per cell
D(E_F) = 1.420 states/eV/f.u.
Calculated volume = 20.77 Å³ per atom

a b c (Å): 7.2309 7.2309 4.1276
angles (deg): 90.00 90.00 120.00
Closest atoms and distances in Å follow each position.
Positions (direct):
Th 0.0000 0.5822 0.0000  5 Ni 3.00-3.02, 6 In 3.20-3.34
Th 0.4178 0.4178 0.0000  5 Ni 3.00-3.02, 6 In 3.20-3.34
Th 0.5822 0.0000 0.0000  5 Ni 3.00-3.02, 6 In 3.20-3.34
In 0.0000 0.2435 0.5000  4 Ni 2.71-2.79
In 0.2435 0.0000 0.5000  4 Ni 2.71-2.79
In 0.7565 0.7565 0.5000  4 Ni 2.71-2.79
Ni 0.0000 0.0000 0.0000  6 In 2.71, 3 Th 3.02
Ni 0.3333 0.6667 0.5000  3 In 2.79, 6 Th 3.00
Ni 0.6667 0.3333 0.5000  3 In 2.79, 6 Th 3.00

This record from Alexandria via LeMat-Bulk describes TiInNi2 after structural relaxation. The functional is PBEsol.

Raw total energy = -100.57 eV for the cell shown
ΔE_f = -1.52 eV/f.u.
Size of the total moment = 0.00 μB per cell
D(E_F) = 3.472 states/eV/f.u.
Calculated volume = 13.73 Å³ per atom

a b c (Å): 6.0334 6.0334 6.0334
angles (deg): 90.00 90.00 90.00
Closest atoms and distances in Å follow each position.
Positions (direct):
Ti 0.0000 0.0000 0.0000  8 Ni 2.61
Ti 0.0000 0.5000 0.5000  8 Ni 2.61
Ti 0.5000 0.0000 0.5000  8 Ni 2.61
Ti 0.5000 0.5000 0.0000  8 Ni 2.61
In 0.0000 0.0000 0.5000  8 Ni 2.61
In 0.0000 0.5000 0.0000  8 Ni 2.61
In 0.5000 0.0000 0.0000  8 Ni 2.61
In 0.5000 0.5000 0.5000  8 Ni 2.61
Ni 0.2500 0.2500 0.2500  4 In 2.61, 4 Ti 2.61
Ni 0.2500 0.2500 0.7500  4 In 2.61, 4 Ti 2.61
Ni 0.2500 0.7500 0.2500  4 In 2.61, 4 Ti 2.61
Ni 0.2500 0.7500 0.7500  4 In 2.61, 4 Ti 2.61
Ni 0.7500 0.2500 0.2500  4 In 2.61, 4 Ti 2.61
Ni 0.7500 0.2500 0.7500  4 In 2.61, 4 Ti 2.61
Ni 0.7500 0.7500 0.2500  4 In 2.61, 4 Ti 2.61
Ni 0.7500 0.7500 0.7500  4 In 2.61, 4 Ti 2.61

This record from Alexandria via LeMat-Bulk describes TiInNi2 after structural relaxation. The functional is PBEsol.

Raw total energy = -25.06 eV for the cell shown
ΔE_f = -1.44 eV/f.u.
Size of the total moment = 0.00 μB per cell
D(E_F) = 2.432 states/eV/f.u.
Calculated volume = 14.06 Å³ per atom

a b c (Å): 3.0555 3.0555 6.0248
angles (deg): 90.00 90.00 90.00
Closest atoms and distances in Å follow each position.
Positions (direct):
Ti 0.0000 0.0000 0.0000  8 Ni 2.51
In 0.0000 0.0000 0.5000  8 Ni 2.77, 2 Ti 3.01, 4 In 3.06
Ni 0.5000 0.5000 0.2129  4 Ti 2.51, 1 Ni 2.57, 4 In 2.77
Ni 0.5000 0.5000 0.7871  4 Ti 2.51, 1 Ni 2.57, 4 In 2.77

This record from Alexandria via LeMat-Bulk describes Ti3InNi after structural relaxation. The functional is PBEsol.

Raw total energy = -33.54 eV for the cell shown
ΔE_f = 0.57 eV/f.u.
Size of the total moment = 0.00 μB per cell
D(E_F) = 5.493 states/eV/f.u.
Calculated volume = 18.28 Å³ per atom

a b c (Å): 4.5048 4.5048 4.5048
angles (deg): 90.00 90.00 90.00
Closest atoms and distances in Å follow each position.
Positions (direct):
Ti 0.0000 0.0000 0.5000  2 Ni 2.25
Ti 0.0000 0.5000 0.0000  2 Ni 2.25
Ti 0.5000 0.0000 0.0000  2 Ni 2.25
In 0.5000 0.5000 0.5000  12 Ti 3.19
Ni 0.0000 0.0000 0.0000  6 Ti 2.25

Q: What is the raw total energy in the fourth record?
A: -33.54 eV for the cell shown

Q: Among the records above, which one has the highest D(E_F)?
A: Ti3InNi

Q: Among the records above, which one has the highest raw total energy?
A: number 3